(1)
The following is a DFT calculation (GGA-PBE) of LaGa2Ru after structural relaxation.

Cell lengths 4.8854, 4.8854, 17.0935 Å; angles 90.00, 90.00, 90.00 degrees
With the nearest neighbours (Å) after each atom.
Space group I-42d (No. 122)
Asymmetric unit:
La: 0.0000 0.0000 0.0000 x4  8 Ga 3.30-3.64, 4 Ru 3.45
Ga: 0.0494 0.2500 0.6250 x8  2 Ru 2.47, 2 Ga 2.49
Ru: 0.0000 0.0000 0.5000 x4  4 Ga 2.47

Properties
The calculation puts the spin magnetization at 0.00 μB per cell. The density of states at the Fermi level comes out at 15.84 states/eV/cell. The value obtained for the energy of formation is -0.18 eV/atom. The uncorrected energy is -5.242 eV/atom.

=====

(2)
The following is a DFT calculation (GGA-PBE) of La2Ga3Ru after structural relaxation.

Cell lengths 5.6342, 5.6342, 13.4913 Å; angles 90.00, 90.00, 120.00 degrees
With the nearest neighbours (Å) after each atom.
Space group R-3m (No. 166, hexagonal axes)
Asymmetric unit:
La: 0.0000 0.0000 0.1253 x6  9 Ga 3.24-3.29, 3 Ru 3.30, 4 La 3.38-3.44
Ga: 0.0000 0.5000 0.0000 x9  2 Ru 2.78, 4 Ga 2.82
Ru: 0.0000 0.0000 0.5000 x3  6 Ga 2.78

Properties
The calculation puts the spin magnetization at 0.00 μB per cell. The density of states at the Fermi level comes out at 12.13 states/eV/cell. The value obtained for the energy of formation is -0.54 eV/atom. The uncorrected energy is -5.239 eV/atom.

=====

(3)
The following is a DFT calculation (GGA-PBE) of La4Ga2Ru after structural relaxation.

Cell lengths 5.3720, 5.3720, 15.3778 Å; angles 90.00, 90.00, 90.00 degrees
With the nearest neighbours (Å) after each atom.
Space group I4/mmm (No. 139)
Asymmetric unit:
La: 0.0000 0.0000 0.1859 x4  1 Ru 2.86, 1 Ga 2.97
La: 0.0000 0.5000 0.0000 x4  2 Ru 2.69
Ga: 0.0000 0.0000 0.3792 x4  5 La 2.97-3.27
Ru: 0.0000 0.0000 0.0000 x2  6 La 2.69-2.86

Properties
Its energy above the lowest structure with this stoichiometry is 118 meV/atom. The calculation puts the spin magnetization at 0.00 μB per cell. The density of states at the Fermi level comes out at 10.93 states/eV/cell. The value obtained for the energy of formation is -0.29 eV/atom. The uncorrected energy is -5.295 eV/atom.

=====

(4)
The following is a DFT calculation (GGA-PBE) of La4GaRu2 after structural relaxation.

Cell lengths 5.9310, 5.9310, 13.1918 Å; angles 90.00, 90.00, 90.00 degrees
With the nearest neighbours (Å) after each atom.
Space group I4/mmm (No. 139)
Asymmetric unit:
La: 0.0000 0.0000 0.2291 x4  1 Ru 2.30
La: 0.0000 0.5000 0.0000 x4  2 Ga 2.97, 4 Ru 3.23
Ga: 0.0000 0.0000 0.0000 x2  6 La 2.97-3.02
Ru: 0.0000 0.0000 0.4035 x4  1 La 2.30, 1 Ru 2.55

Properties
The calculation puts the spin magnetization at 0.00 μB per cell. The density of states at the Fermi level comes out at 16.42 states/eV/cell. The value obtained for the energy of formation is 0.03 eV/atom. The uncorrected energy is -5.873 eV/atom.

=====

(5)
The following is a DFT calculation (GGA-PBE) of La2Ga5Ru after structural relaxation.

Cell lengths 6.1971, 6.1971, 9.3814 Å; angles 90.00, 90.00, 90.00 degrees
With the nearest neighbours (Å) after each atom.
Space group I4mm (No. 107)
Asymmetric unit:
La: 0.0000 0.5000 0.0000 x4  10 Ga 3.11-3.24
Ga: 0.0000 0.0000 0.0339 x2  1 Ru 2.46
Ga: 0.2164 0.2164 0.2470 x8  1 Ru 2.50, 3 Ga 2.68-2.76
Ru: 0.0000 0.0000 0.7722 x2  5 Ga 2.46-2.50

Properties
The calculation puts the spin magnetization at 0.00 μB per cell. The density of states at the Fermi level comes out at 11.86 states/eV/cell. The value obtained for the energy of formation is -0.48 eV/atom. The uncorrected energy is -4.761 eV/atom.

=====

(6)
The following is a DFT calculation (GGA-PBE) of La2Ga2Ru after structural relaxation.

Cell lengths 3.6286, 3.6286, 18.6253 Å; angles 90.00, 90.00, 90.00 degrees
With the nearest neighbours (Å) after each atom.
Space group I4/mmm (No. 139)
Asymmetric unit:
La: 0.0000 0.0000 0.0924 x4  4 Ru 3.09, 1 La 3.44, 4 Ga 3.45
Ga: 0.0000 0.5000 0.2500 x4  4 Ga 2.57
Ru: 0.0000 0.0000 0.5000 x2  8 La 3.09

Properties
Its energy above the lowest structure with this stoichiometry is 337 meV/atom. The calculation puts the spin magnetization at 0.00 μB per cell. The density of states at the Fermi level comes out at 4.99 states/eV/cell. The value obtained for the energy of formation is -0.21 eV/atom. The uncorrected energy is -5.244 eV/atom.

=====

(7)
The following is a DFT calculation (GGA-PBE) of La3Ga3Ru2 after structural relaxation.

Cell lengths 7.8074, 15.7213, 6.0349 Å; angles 90.00, 90.00, 90.00 degrees
With the nearest neighbours (Å) after each atom.
Space group Pnma (No. 62)
Asymmetric unit:
La: 0.0377 0.1046 0.1019 x8  1 Ru 2.83
La: 0.1720 0.2500 0.6240 x4  5 Ga 3.05-3.34, 4 Ru 3.08-3.36
Ga: 0.1546 0.0383 0.5918 x8  3 Ru 2.55-2.61
Ga: 0.1735 0.7500 0.6115 x4  2 Ru 2.69
Ru: 0.1450 0.6058 0.3758 x8  4 Ga 2.55-2.69, 1 La 2.83

Properties
The calculation puts the spin magnetization at 0.00 μB per cell. The density of states at the Fermi level comes out at 27.20 states/eV/cell. The value obtained for the energy of formation is -0.52 eV/atom. The uncorrected energy is -5.824 eV/atom.

=====

(8)
The following is a DFT calculation (GGA-PBE) of La3GaRu after structural relaxation.

Cell lengths 5.7390, 5.7390, 5.7390 Å; angles 90.00, 90.00, 90.00 degrees
With the nearest neighbours (Å) after each atom.
Space group Pm-3m (No. 221)
Asymmetric unit:
La: 0.0000 0.0000 0.5000 x3  2 Ru 2.87
Ga: 0.5000 0.5000 0.5000 x1  12 La 4.06
Ru: 0.0000 0.0000 0.0000 x1  6 La 2.87

Properties
Its energy above the lowest structure with this stoichiometry is 268 meV/atom. The calculation puts the spin magnetization at 0.00 μB per cell. The density of states at the Fermi level comes out at 5.35 states/eV/cell. The value obtained for the energy of formation is -0.13 eV/atom. The uncorrected energy is -5.544 eV/atom.

=====

(9)
The following is a DFT calculation (GGA-PBE) of La2GaSbRu after structural relaxation.

Cell lengths 5.4268, 5.4268, 4.8403 Å; angles 90.00, 90.00, 90.00 degrees
With the nearest neighbours (Å) after each atom.
Space group P4/mmm (No. 123)
Asymmetric unit:
La: 0.0000 0.5000 0.0000 x2  2 Ru 2.71
Ga: 0.0000 0.0000 0.5000 x1  2 Ru 2.42
Sb: 0.5000 0.5000 0.5000 x1  8 La 3.64, 4 Ga 3.84
Ru: 0.0000 0.0000 0.0000 x1  2 Ga 2.42

Properties
The calculation puts the spin magnetization at 0.00 μB per cell. The density of states at the Fermi level comes out at 2.88 states/eV/cell. Its formation energy from raw total energies is -670 meV per atom. The uncorrected energy is -5.926 eV/atom.

=====

(10)
The following is a DFT calculation (GGA-PBE) of LaScGaRu after structural relaxation.

Cell lengths 6.9808, 6.9808, 6.9808 Å; angles 90.00, 90.00, 90.00 degrees
With the nearest neighbours (Å) after each atom.
Space group F-43m (No. 216)
Asymmetric unit:
La: 0.0000 0.0000 0.0000 x4  4 Ru 3.02, 4 Ga 3.02
Sc: 0.0000 0.0000 0.5000 x4  4 Ru 3.02, 4 Ga 3.02
Ga: 0.2500 0.2500 0.7500 x4  4 La 3.02, 4 Sc 3.02
Ru: 0.2500 0.2500 0.2500 x4  4 La 3.02, 4 Sc 3.02

Properties
The calculation puts the spin magnetization at 0.00 μB per cell. The density of states at the Fermi level comes out at 10.04 states/eV/cell. The value obtained for the energy of formation is -0.35 eV/atom. The uncorrected energy is -6.240 eV/atom.

=====

(11)
The following is a DFT calculation (GGA-PBE) of LaSmGaRu after structural relaxation.

Cell lengths 7.2357, 7.2357, 7.2357 Å; angles 90.00, 90.00, 90.00 degrees
With the nearest neighbours (Å) after each atom.
Space group F-43m (No. 216)
Asymmetric unit:
La: 0.0000 0.0000 0.0000 x4  4 Ru 3.13, 4 Ga 3.13
Sm: 0.0000 0.0000 0.5000 x4  4 Ru 3.13, 4 Ga 3.13
Ga: 0.2500 0.2500 0.7500 x4  4 La 3.13, 4 Sm 3.13
Ru: 0.2500 0.2500 0.2500 x4  4 Sm 3.13, 4 La 3.13

Properties
Its energy above the lowest structure with this stoichiometry is 92 meV/atom. The calculation puts the spin magnetization at 0.00 μB per cell. The density of states at the Fermi level comes out at 11.05 states/eV/cell. The value obtained for the energy of formation is -0.32 eV/atom. The uncorrected energy is -5.808 eV/atom.

=====

(12)
The following is a DFT calculation (GGA-PBE) of LaSmGaRu after structural relaxation.

Cell lengths 4.5255, 4.1120, 10.7783 Å; angles 90.00, 90.00, 90.00 degrees
With the nearest neighbours (Å) after each atom.
Space group Amm2 (No. 38)
Asymmetric unit:
La: 0.0000 0.0000 0.0000 x2  3 Ru 2.96-3.25, 4 Ga 3.17
Sm: 0.5000 0.0000 0.7202 x2  3 Ga 3.00-3.21, 4 Ru 3.18
Ga: 0.5000 0.0000 0.4224 x2  2 Ru 2.61
Ru: 0.0000 0.0000 0.3018 x2  2 Ga 2.61

Properties
Its energy above the lowest structure with this stoichiometry is 0 meV/atom. The calculation puts the spin magnetization at 0.00 μB per cell. The density of states at the Fermi level comes out at 5.83 states/eV/cell. The value obtained for the energy of formation is -0.41 eV/atom. The uncorrected energy is -5.900 eV/atom.